# Li2MnCdF8 GGA+U optimized geometry
data_Li2MnCdF8
_space_group_name_H-M_alt 'I -4 m 2'
_space_group_IT_number 119
_space_group_name_Hall 'I -4 -2'
_cell_length_a 6.5318
_cell_length_b 6.5318
_cell_length_c 7.0787
_cell_angle_alpha 90.00
_cell_angle_beta 90.00
_cell_angle_gamma 90.00
loop_
_atom_site_label
_atom_site_fract_x
_atom_site_fract_y
_atom_site_fract_z
Li1 0.0000 0.0000 0.0000
Li2 0.0000 0.5000 0.2500
Mn1 0.0000 0.0000 0.5000
Cd1 0.0000 0.5000 0.7500
F1 0.0000 0.1788 0.7948
F2 0.0000 0.2874 0.4475
# DOS at the Fermi energy	7.7	states/eV/f.u.
# VASP energy	-54.51	eV per formula unit